LiVF4 (GGA+U, relaxed); energy above the most stable polymorph in this dataset = 0.113 eV per atom; ρ = 2.87 g/cm³; calculated volume = 155 Å³/cell
1.0
3.9523 0.0000 0.0000
0.0000 3.9523 0.0000
0.0000 0.0000 9.9252
Li V F
2 2 8
Cartesian
0.0000 0.0000 0.0000
1.9761 1.9761 4.9626
0.0000 1.9761 7.4439
1.9761 0.0000 2.4813
0.0000 0.0000 2.3576
0.0000 0.0000 7.5676
0.0000 1.9761 5.5120
0.0000 1.9761 9.3759
1.9761 0.0000 0.5493
1.9761 0.0000 4.4133
1.9761 1.9761 2.6050
1.9761 1.9761 7.3202